BaNaIr3 | PBE | relaxed

Cell: 5.2332 5.2332 5.2332 Å, 90.00 90.00 90.00°
Positions (direct):
Ba: 0.0000 0.0000 0.0000
Na: 0.5000 0.5000 0.5000
Ir: 0.0000 0.0000 0.5000
Ir: 0.0000 0.5000 0.0000
Ir: 0.5000 0.0000 0.0000

Values from the calculation:
Polymorph energy (0 for the lowest one): 0.733 eV per atom
Calculated formation energy: 2355 meV per atom
Space group: Pm-3m

Fe2SiBr2 | PBE | relaxed

Cell: 6.3410 6.3410 4.8089 Å, 90.00 90.00 90.00°
Positions (direct):
Fe: 0.1457 0.3543 0.0000
Fe: 0.3543 0.8543 0.0000
Fe: 0.6457 0.1457 0.0000
Fe: 0.8543 0.6457 0.0000
Si: 0.0000 0.0000 0.0000
Si: 0.5000 0.5000 0.0000
Br: 0.1830 0.3170 0.5000
Br: 0.3170 0.8170 0.5000
Br: 0.6830 0.1830 0.5000
Br: 0.8170 0.6830 0.5000

Values from the calculation:
Polymorph energy (0 for the lowest one): 0.000 eV per atom
E_form (uncorrected): 8.82 kcal/mol of atoms
Space group: P4/mbm

BaZn4As3 | PBE | relaxed

Cell: 4.3574 4.3574 9.4543 Å, 90.00 90.00 90.00°
Positions (direct):
Ba: 0.0000 0.0000 0.0000
Zn: 0.0000 0.5000 0.3445
Zn: 0.0000 0.5000 0.6555
Zn: 0.5000 0.0000 0.3445
Zn: 0.5000 0.0000 0.6555
As: 0.0000 0.0000 0.5000
As: 0.5000 0.5000 0.1961
As: 0.5000 0.5000 0.8039

Values from the calculation:
Calculated formation energy: -366 meV per atom
Space group: P4/mmm